Entry 1:
The following is a PBE calculation of a relaxed Sr3NbIn crystal, from Alexandria via LeMat-Bulk.

Results
E_form in meV per atom: 791
Energy in eV per atom: -2.780
Volume in Å³ per cell: 202.2
ΔE to the lowest computed polymorph in eV/atom: 0.000
Magnetic moment in Bohr magnetons per cell: 0.00

a = 5.8694 Å, b = 5.8694 Å, c = 5.8694 Å
α = 90.00°, β = 90.00°, γ = 90.00°
Element x y z (fractional)
Sr  0.0000  0.0000  0.5000
Sr  0.0000  0.5000  0.0000
Sr  0.5000  0.0000  0.0000
Nb  0.0000  0.0000  0.0000
In  0.5000  0.5000  0.5000


Entry 2:
The following is a PBE calculation of a relaxed Li2AlCrRe crystal, from Alexandria via LeMat-Bulk.

Results
E_form in meV per atom: 1719
Energy in eV per atom: -4.209
Volume in Å³ per cell: 95.1
Magnetic moment in Bohr magnetons per cell: 1.59

a = 4.4998 Å, b = 4.4998 Å, c = 4.6947 Å
α = 90.00°, β = 90.00°, γ = 90.00°
Element x y z (fractional)
Li  0.0000  0.5000  0.0000
Li  0.5000  0.0000  0.0000
Al  0.0000  0.0000  0.5000
Cr  0.5000  0.5000  0.5000
Re  0.0000  0.0000  0.0000


Entry 3:
The following is a PBE calculation of a relaxed ZrVTc2 crystal, from Alexandria via LeMat-Bulk.

Results
E_form in meV per atom: 414
Energy in eV per atom: -9.185
Volume in Å³ per cell: 67.8
Magnetic moment in Bohr magnetons per cell: 0.00

a = 5.7875 Å, b = 5.7875 Å, c = 5.7875 Å
α = 151.95°, β = 131.55°, γ = 56.92°
Element x y z (fractional)
Zr  0.0000  0.0000  0.0000
V  0.5000  0.5000  0.0000
Tc  0.2802  0.2802  0.0000
Tc  0.7198  0.7198  0.0000


Entry 4:
The following is a PBE calculation of a relaxed Nd12Hg6Ir crystal, from Alexandria via LeMat-Bulk.

Results
E_form in meV per atom: -275
Energy in eV per atom: -3.848
Volume in Å³ per cell: 607.7
Magnetic moment in Bohr magnetons per cell: 0.00

a = 8.4933 Å, b = 8.4933 Å, c = 8.4933 Å
α = 94.11°, β = 94.11°, γ = 94.11°
Element x y z (fractional)
Nd  0.0416  0.9278  0.6996
Nd  0.0722  0.3004  0.9584
Nd  0.1825  0.4124  0.5330
Nd  0.3004  0.9584  0.0722
Nd  0.4124  0.5330  0.1825
Nd  0.4670  0.8175  0.5876
Nd  0.5330  0.1825  0.4124
Nd  0.5876  0.4670  0.8175
Nd  0.6996  0.0416  0.9278
Nd  0.8175  0.5876  0.4670
Nd  0.9278  0.6996  0.0416
Nd  0.9584  0.0722  0.3004
Hg  0.1513  0.7637  0.3568
Hg  0.2363  0.6432  0.8487
Hg  0.3568  0.1513  0.7637
Hg  0.6432  0.8487  0.2363
Hg  0.7637  0.3568  0.1513
Hg  0.8487  0.2363  0.6432
Ir  0.5000  0.5000  0.5000


Entry 5:
The following is a PBE calculation of a relaxed Tl2TcW crystal, from Alexandria via LeMat-Bulk.

Results
E_form in meV per atom: 1155
Energy in eV per atom: -5.858
Volume in Å³ per cell: 77.8
ΔE to the lowest computed polymorph in eV/atom: 0.707
Magnetic moment in Bohr magnetons per cell: 2.79

a = 5.2701 Å, b = 5.2701 Å, c = 2.9773 Å
α = 90.00°, β = 90.00°, γ = 109.77°
Element x y z (fractional)
Tl  0.0000  0.5000  0.0000
Tl  0.5000  0.0000  0.0000
Tc  0.0000  0.0000  0.5000
W  0.5000  0.5000  0.5000


Entry 6:
The following is a PBE calculation of a relaxed ScTi3Ge crystal, from Alexandria via LeMat-Bulk.

Results
E_form in meV per atom: 1180
Energy in eV per atom: -5.747
Volume in Å³ per cell: 100.7
ΔE to the lowest computed polymorph in eV/atom: 0.864
Magnetic moment in Bohr magnetons per cell: 1.89

a = 4.6517 Å, b = 4.6517 Å, c = 4.6517 Å
α = 90.00°, β = 90.00°, γ = 90.00°
Element x y z (fractional)
Sc  0.0000  0.0000  0.0000
Ti  0.0000  0.0000  0.5000
Ti  0.0000  0.5000  0.0000
Ti  0.5000  0.0000  0.0000
Ge  0.5000  0.5000  0.5000


Entry 7:
The following is a PBE calculation of a relaxed ReRu2Pt crystal, from Alexandria via LeMat-Bulk.

Results
E_form in meV per atom: 4
Energy in eV per atom: -9.256
Volume in Å³ per cell: 58.0
ΔE to the lowest computed polymorph in eV/atom: 0.025
Magnetic moment in Bohr magnetons per cell: 0.00

a = 4.7527 Å, b = 4.7527 Å, c = 4.7527 Å
α = 132.09°, β = 132.09°, γ = 70.08°
Element x y z (fractional)
Re  0.0000  0.0000  0.0000
Ru  0.5000  0.5000  0.0000
Ru  0.7500  0.2500  0.5000
Pt  0.2500  0.7500  0.5000


Entry 8:
The following is a PBE calculation of a relaxed Tb3Er7Mg crystal, from Alexandria via LeMat-Bulk.

Results
E_form in meV per atom: 196
Energy in eV per atom: -4.115
Volume in Å³ per cell: 353.4
Magnetic moment in Bohr magnetons per cell: 0.00

a = 6.9294 Å, b = 6.9294 Å, c = 8.4989 Å
α = 90.00°, β = 90.00°, γ = 120.00°
Element x y z (fractional)
Tb  0.1684  0.3367  0.0000
Tb  0.1684  0.8316  0.0000
Tb  0.6633  0.8316  0.0000
Er  0.0054  0.5027  0.6599
Er  0.3327  0.1664  0.3350
Er  0.3333  0.6667  0.3310
Er  0.4973  0.5027  0.6599
Er  0.4973  0.9946  0.6599
Er  0.8336  0.1664  0.3350
Er  0.8336  0.6673  0.3350
Mg  0.0000  0.0000  0.6591


Entry 9:
The following is a PBE calculation of a relaxed CdCuTeC2 crystal, from Alexandria via LeMat-Bulk.

Results
Energy in eV per atom: -3.123
Volume in Å³ per cell: 91.3
Magnetic moment in Bohr magnetons per cell: 0.00
Uncorrected formation energy in eV/atom: 2.197

a = 4.2754 Å, b = 4.2754 Å, c = 4.9928 Å
α = 90.00°, β = 90.00°, γ = 90.00°
Element x y z (fractional)
Cd  0.0000  0.0000  0.0000
Cu  0.5000  0.5000  0.0000
Te  0.5000  0.5000  0.5000
C  0.0000  0.5000  0.5000
C  0.5000  0.0000  0.5000


Entry 10:
The following is a PBE calculation of a relaxed AsP2Pb2 crystal, from Alexandria via LeMat-Bulk.

Results
E_form in meV per atom: 258
Energy in eV per atom: -4.319
Volume in Å³ per cell: 122.6
ΔE to the lowest computed polymorph in eV/atom: 0.000
Magnetic moment in Bohr magnetons per cell: 0.00

a = 5.4989 Å, b = 5.4989 Å, c = 5.4989 Å
α = 116.84°, β = 116.84°, γ = 95.56°
Element x y z (fractional)
As  0.0000  0.0000  0.0000
P  0.3478  0.3478  0.0000
P  0.6522  0.6522  0.0000
Pb  0.2500  0.7500  0.5000
Pb  0.7500  0.2500  0.5000


Entry 11:
The following is a PBE calculation of a relaxed Sm2ReO6 crystal, from Alexandria via LeMat-Bulk.

Results
Energy in eV per atom: -8.340
Volume in Å³ per cell: 257.4
Magnetic moment in Bohr magnetons per cell: 2.02
Uncorrected formation energy in eV/atom: -2.603

a = 5.5190 Å, b = 5.9691 Å, c = 9.0739 Å
α = 90.00°, β = 120.56°, γ = 90.00°
Element x y z (fractional)
Sm  0.1997  0.0877  0.2388
Sm  0.1997  0.4123  0.7388
Sm  0.8003  0.5877  0.2612
Sm  0.8003  0.9123  0.7612
Re  0.5000  0.0000  0.0000
Re  0.5000  0.5000  0.5000
O  0.1551  0.1640  0.9478
O  0.1551  0.3360  0.4478
O  0.2770  0.7331  0.9138
O  0.2770  0.7669  0.4138
O  0.4278  0.0691  0.7729
O  0.4278  0.4309  0.2729
O  0.5722  0.5691  0.7271
O  0.5722  0.9309  0.2271
O  0.7230  0.2331  0.5862
O  0.7230  0.2669  0.0862
O  0.8449  0.6640  0.5522
O  0.8449  0.8360  0.0522


Entry 12:
The following is a PBE calculation of a relaxed Pm3PdC crystal, from Alexandria via LeMat-Bulk.

Results
E_form in meV per atom: -169
Energy in eV per atom: -5.903
Volume in Å³ per cell: 124.6
ΔE to the lowest computed polymorph in eV/atom: 0.141
Magnetic moment in Bohr magnetons per cell: 0.00

a = 4.9944 Å, b = 4.9944 Å, c = 4.9944 Å
α = 90.00°, β = 90.00°, γ = 90.00°
Element x y z (fractional)
Pm  0.0000  0.0000  0.5000
Pm  0.0000  0.5000  0.0000
Pm  0.5000  0.0000  0.0000
Pd  0.5000  0.5000  0.5000
C  0.0000  0.0000  0.0000


Entry 13:
The following is a PBE calculation of a relaxed LiTa3P crystal, from Alexandria via LeMat-Bulk.

Results
E_form in meV per atom: 522
Energy in eV per atom: -8.054
Volume in Å³ per cell: 99.2
ΔE to the lowest computed polymorph in eV/atom: 0.000
Magnetic moment in Bohr magnetons per cell: 0.00

a = 4.6291 Å, b = 4.6291 Å, c = 4.6291 Å
α = 90.00°, β = 90.00°, γ = 90.00°
Element x y z (fractional)
Li  0.0000  0.0000  0.0000
Ta  0.0000  0.5000  0.5000
Ta  0.5000  0.0000  0.5000
Ta  0.5000  0.5000  0.0000
P  0.5000  0.5000  0.5000


Entry 14:
The following is a PBE calculation of a relaxed LaEu2Tl crystal, from Alexandria via LeMat-Bulk.

Results
E_form in meV per atom: -187
Energy in eV per atom: -7.148
Volume in Å³ per cell: 134.0
ΔE to the lowest computed polymorph in eV/atom: 0.000
Magnetic moment in Bohr magnetons per cell: 14.52

a = 5.0353 Å, b = 5.0353 Å, c = 5.2847 Å
α = 90.00°, β = 90.00°, γ = 90.00°
Element x y z (fractional)
La  0.0000  0.0000  0.0000
Eu  0.0000  0.5000  0.5000
Eu  0.5000  0.0000  0.5000
Tl  0.5000  0.5000  0.0000


Entry 15:
The following is a PBE calculation of a relaxed Pr2Nd3Sm6Ho crystal, from Alexandria via LeMat-Bulk.

Results
E_form in meV per atom: 14
Energy in eV per atom: -4.716
Volume in Å³ per cell: 411.9
Magnetic moment in Bohr magnetons per cell: 0.00

a = 6.3178 Å, b = 6.3178 Å, c = 12.1006 Å
α = 95.01°, β = 95.01°, γ = 119.98°
Element x y z (fractional)
Pr  0.1667  0.8333  0.0000
Pr  0.8333  0.1667  0.0000
Nd  0.0000  0.0000  0.5000
Nd  0.3334  0.6666  0.5000
Nd  0.6666  0.3334  0.5000
Sm  0.0852  0.4172  0.7507
Sm  0.2509  0.2509  0.2495
Sm  0.4172  0.0852  0.7507
Sm  0.5828  0.9148  0.2493
Sm  0.7491  0.7491  0.7505
Sm  0.9148  0.5828  0.2493
Ho  0.5000  0.5000  0.0000


Entry 16:
The following is a PBE calculation of a relaxed Sr3HgGe crystal, from Alexandria via LeMat-Bulk.

Results
E_form in meV per atom: -253
Energy in eV per atom: -2.246
Volume in Å³ per cell: 226.9
ΔE to the lowest computed polymorph in eV/atom: 0.206
Magnetic moment in Bohr magnetons per cell: 0.00

a = 6.0993 Å, b = 6.0993 Å, c = 6.0993 Å
α = 90.00°, β = 90.00°, γ = 90.00°
Element x y z (fractional)
Sr  0.0000  0.0000  0.5000
Sr  0.0000  0.5000  0.0000
Sr  0.5000  0.0000  0.0000
Hg  0.5000  0.5000  0.5000
Ge  0.0000  0.0000  0.0000


Entry 17:
The following is a PBE calculation of a relaxed ThSiPt6 crystal, from Alexandria via LeMat-Bulk.

Results
Energy in eV per atom: -6.780
Volume in Å³ per cell: 162.9
Magnetic moment in Bohr magnetons per cell: 0.00
Uncorrected formation energy in eV/atom: -0.644

a = 7.0167 Å, b = 7.0167 Å, c = 7.0167 Å
α = 45.98°, β = 45.98°, γ = 45.98°
Element x y z (fractional)
Th  0.0000  0.0000  0.0000
Si  0.5000  0.5000  0.5000
Pt  0.0673  0.5806  0.5806
Pt  0.4194  0.4194  0.9327
Pt  0.4194  0.9327  0.4194
Pt  0.5806  0.0673  0.5806
Pt  0.5806  0.5806  0.0673
Pt  0.9327  0.4194  0.4194


Entry 18:
The following is a PBE calculation of a relaxed CaSi2Ni crystal, from Alexandria via LeMat-Bulk.

Results
Energy in eV per atom: -5.206
Volume in Å³ per cell: 276.2
Magnetic moment in Bohr magnetons per cell: 0.00
Uncorrected formation energy in eV/atom: -0.548

a = 7.0153 Å, b = 3.8672 Å, c = 10.1806 Å
α = 90.00°, β = 90.00°, γ = 90.00°
Element x y z (fractional)
Ca  0.1433  0.2500  0.1255
Ca  0.3567  0.7500  0.6255
Ca  0.6433  0.2500  0.3745
Ca  0.8567  0.7500  0.8745
Si  0.1620  0.2500  0.4298
Si  0.1819  0.2500  0.8256
Si  0.3181  0.7500  0.3256
Si  0.3380  0.7500  0.9298
Si  0.6620  0.2500  0.0702
Si  0.6819  0.2500  0.6744
Si  0.8181  0.7500  0.1744
Si  0.8380  0.7500  0.5702
Ni  0.0121  0.2500  0.6324
Ni  0.4879  0.7500  0.1325
Ni  0.5121  0.2500  0.8676
Ni  0.9879  0.7500  0.3676


Entry 19:
The following is a PBE calculation of a relaxed CaPmThIn crystal, from Alexandria via LeMat-Bulk.

Results
E_form in meV per atom: 53
Energy in eV per atom: -4.175
Volume in Å³ per cell: 124.3
Magnetic moment in Bohr magnetons per cell: 0.14

a = 5.6017 Å, b = 5.6017 Å, c = 5.6017 Å
α = 60.00°, β = 60.00°, γ = 60.00°
Element x y z (fractional)
Ca  0.0000  0.0000  0.0000
Pm  0.7500  0.7500  0.7500
Th  0.5000  0.5000  0.5000
In  0.2500  0.2500  0.2500


Entry 20:
The following is a PBE calculation of a relaxed Er2CdPd6 crystal, from Alexandria via LeMat-Bulk.

Results
E_form in meV per atom: -477
Energy in eV per atom: -5.055
Volume in Å³ per cell: 187.5
Magnetic moment in Bohr magnetons per cell: 0.00

a = 7.4600 Å, b = 7.4600 Å, c = 3.8533 Å
α = 104.94°, β = 104.94°, γ = 66.83°
Element x y z (fractional)
Er  0.1632  0.1632  0.1649
Er  0.8368  0.8368  0.8351
Cd  0.5000  0.5000  0.5000
Pd  0.0888  0.5816  0.3347
Pd  0.2508  0.7492  0.0000
Pd  0.4184  0.9112  0.6653
Pd  0.5816  0.0888  0.3347
Pd  0.7492  0.2508  0.0000
Pd  0.9112  0.4184  0.6653